The following is a PBE-GGA calculation of LaTc2Rh after structural relaxation, from Alexandria via LeMat-Bulk.

Cell and atoms, written as CIF:
```
data_LaTc2Rh
_chemical_formula_sum 'La1 Tc2 Rh1'
_cell_length_a 4.691
_cell_length_b 4.691
_cell_length_c 3.227
_cell_angle_alpha 90.00
_cell_angle_beta 90.00
_cell_angle_gamma 90.00
_space_group_name_H-M_alt 'P 4/m m m'
_space_group_IT_number 123
_space_group_name_Hall '-P 4 2'
loop_
_atom_site_label
_atom_site_type_symbol
_atom_site_fract_x
_atom_site_fract_y
_atom_site_fract_z
_atom_site_occupancy
La1 La 0.000 0.000 0.000 1
Tc1 Tc 0.000 0.500 0.500 1
Rh1 Rh 0.500 0.500 0.000 1
```

Calculated values
calculated volume	71	Å³ per cell
offset from the most stable computed form	0.477	eV/atom
E_form	0.533	eV per atom